1.
Crystalline TaVGa at its relaxed geometry. Source: Alexandria via LeMat-Bulk, functional PBE-GGA.

Unit cell a=3.299 b=3.299 c=4.908 alpha=109.64 beta=109.64 gamma=90.00
Fractional positions:
V  0.950  0.950  0.901
Ga  0.289  0.289  0.577
Ta  0.611  0.611  0.222

energy relative to the lowest polymorph listed for this composition: 0.255 eV/f.u.
energy of formation from the pure elements: -0.131 eV per atom
density of states at the Fermi level: 3.486 states/eV/cell
density: 10.66 g/cm3
magnetic moment: 0.0 μB per formula unit



2.
Crystalline LiAu at its relaxed geometry. Source: Alexandria via LeMat-Bulk, functional PBE-GGA.

Unit cell a=4.003 b=4.003 c=5.484 alpha=90.00 beta=90.00 gamma=120.00
Fractional positions:
Au  0.000  0.000  0.000
Au  0.000  0.000  0.500
Li  0.333  0.667  0.250
Li  0.667  0.333  0.750

energy of formation from the pure elements: -0.403 eV per atom
density of states at the Fermi level: 0.764 states/eV/cell
density: 8.90 g/cm3
magnetic moment: 0.0 μB per formula unit



3.
Crystalline Nd3TiTl4Se8 at its relaxed geometry. Source: Alexandria via LeMat-Bulk, functional PBE-GGA.

Unit cell a=8.401 b=9.155 c=8.402 alpha=117.33 beta=120.00 gamma=90.00
Site moments in Bohr magnetons follow the coordinates.
Fractional positions:
Nd  0.500  0.500  0.000  0.01
Nd  0.500  0.500  0.500  0.01
Nd  0.000  0.500  0.500  0.01
Ti  0.000  0.500  0.000  0.88
Tl  0.500  0.000  0.000  0.00
Tl  0.500  0.000  0.500  0.00
Tl  0.000  0.000  0.000  0.00
Tl  0.000  0.000  0.500  0.00
Se  0.221  0.702  0.981  -0.01
Se  0.221  0.702  0.442  -0.01
Se  0.261  0.284  0.523  0.00
Se  0.760  0.702  0.981  -0.01
Se  0.240  0.298  0.019  -0.01
Se  0.739  0.716  0.477  0.00
Se  0.779  0.298  0.558  -0.01
Se  0.779  0.298  0.019  -0.01

energy: -4.921 eV/atom
density of states at the Fermi level: 6.194 states/eV/cell
density: 6.75 g/cm3
magnetic moment: 1.0 μB per formula unit



4.
Crystalline NaSnB at its relaxed geometry. Source: Alexandria via LeMat-Bulk, functional PBE-GGA.

Unit cell a=3.183 b=4.710 c=8.206 alpha=73.32 beta=78.82 gamma=90.00
Fractional positions:
Na  0.340  0.590  0.319
Na  0.660  0.410  0.681
B  0.762  0.012  0.476
B  0.238  0.988  0.524
Sn  0.938  0.188  0.125
Sn  0.062  0.812  0.875

energy of formation from the pure elements: 0.110 eV per atom
density of states at the Fermi level: 1.953 states/eV/cell
density: 4.39 g/cm3
magnetic moment: 0.0 μB per formula unit